Material: SbC2
Method: DFT, PBE-GGA
State: relaxed

Uncorrected formation energy ... 1.140 eV per atom
Raw total energy ... -19.1 eV per cell
SG ... No. 12
ΔE to the lowest computed polymorph ... 59.3 kJ/mol of formula units
ρ ... 6.164 g/cm3

Cell: 3.4293 3.4293 4.3435 Å, 113.38 113.38 59.86°
Sites, in units of the cell vectors:
Sb1 0.0000 0.0000 0.0000
C1 0.4405 0.4405 0.3221
C2 0.5595 0.5595 0.6779

---

Material: Sb2C
Method: DFT, PBE-GGA
State: relaxed

Uncorrected formation energy ... 1.113 eV per atom
Raw total energy ... -28.3 eV per cell
SG ... No. 63
ΔE to the lowest computed polymorph ... 145.0 kJ/mol of formula units
ρ ... 7.087 g/cm3

Cell: 7.1128 7.1128 5.1666 Å, 90.00 90.00 152.73°
Sites, in units of the cell vectors:
Sb1 0.0685 0.9315 0.7500
Sb2 0.3155 0.6845 0.7500
Sb3 0.6845 0.3155 0.2500
Sb4 0.9315 0.0685 0.2500
C1 0.3036 0.6964 0.2500
C2 0.6964 0.3036 0.7500

---

Material: Sb3C
Method: DFT, PBE-GGA
State: relaxed

Uncorrected formation energy ... 0.926 eV per atom
Raw total energy ... -17.9 eV per cell
SG ... No. 187
ΔE to the lowest computed polymorph ... 63.7 kJ/mol of formula units
ρ ... 7.189 g/cm3

Cell: 3.3342 3.3342 9.0523 Å, 90.00 90.00 120.00°
Sites, in units of the cell vectors:
Sb1 0.0000 0.0000 0.0000
Sb2 0.6667 0.3333 0.3311
Sb3 0.6667 0.3333 0.6689
C1 0.0000 0.0000 0.5000

---

Material: SbC3
Method: DFT, PBE-GGA
State: relaxed

Uncorrected formation energy ... 0.881 eV per atom
Raw total energy ... -113.1 eV per cell
SG ... No. 62
ΔE to the lowest computed polymorph ... 0.0 kJ/mol of formula units
ρ ... 4.457 g/cm3

Cell: 7.4404 5.6250 5.6181 Å, 90.00 90.00 90.00°
Sites, in units of the cell vectors:
Sb1 0.2122 0.2500 0.0397
Sb2 0.2878 0.7500 0.5397
Sb3 0.7122 0.2500 0.4603
Sb4 0.7878 0.7500 0.9603
C1 0.0791 0.0288 0.5594
C2 0.0791 0.4712 0.5594
C3 0.1355 0.2500 0.6569
C4 0.3645 0.7500 0.1569
C5 0.4209 0.5288 0.0594
C6 0.4209 0.9712 0.0594
C7 0.5791 0.0288 0.9406
C8 0.5791 0.4712 0.9406
C9 0.6355 0.2500 0.8431
C10 0.8645 0.7500 0.3431
C11 0.9209 0.5288 0.4406
C12 0.9209 0.9712 0.4406

---

Material: Sb2C
Method: DFT, PBE-GGA
State: relaxed

Uncorrected formation energy ... 1.194 eV per atom
Raw total energy ... -27.8 eV per cell
SG ... No. 63
ΔE to the lowest computed polymorph ... 168.6 kJ/mol of formula units
ρ ... 6.076 g/cm3

Cell: 7.1599 7.1599 6.3115 Å, 90.00 90.00 154.43°
Sites, in units of the cell vectors:
Sb1 0.0033 0.9967 0.7500
Sb2 0.2253 0.7747 0.2500
Sb3 0.7747 0.2253 0.7500
Sb4 0.9967 0.0033 0.2500
C1 0.3904 0.6096 0.7500
C2 0.6096 0.3904 0.2500

---

Material: SbC
Method: DFT, PBE-GGA
State: relaxed

Uncorrected formation energy ... 1.681 eV per atom
Raw total energy ... -39.9 eV per cell
SG ... No. 217
ΔE to the lowest computed polymorph ... 163.3 kJ/mol of formula units
ρ ... 4.815 g/cm3

Cell: 6.2121 6.2121 6.2121 Å, 109.47 109.47 109.47°
Sites, in units of the cell vectors:
Sb1 0.0000 0.0000 0.3308
Sb2 0.0000 0.3308 0.0000
Sb3 0.3308 0.0000 0.0000
Sb4 0.6692 0.6692 0.6692
C1 0.0000 0.0000 0.6926
C2 0.0000 0.6926 0.0000
C3 0.3074 0.3074 0.3074
C4 0.6926 0.0000 0.0000

---

Material: SbC3
Method: DFT, PBE-GGA
State: relaxed

Uncorrected formation energy ... 1.439 eV per atom
Raw total energy ... -52.1 eV per cell
SG ... No. 59
ΔE to the lowest computed polymorph ... 215.2 kJ/mol of formula units
ρ ... 3.913 g/cm3

Cell: 4.7293 4.7440 5.9699 Å, 90.00 90.00 90.00°
Sites, in units of the cell vectors:
Sb1 0.2500 0.2500 0.1852
Sb2 0.7500 0.7500 0.8148
C1 0.1070 0.7500 0.5954
C2 0.2500 0.7500 0.3800
C3 0.3930 0.7500 0.5954
C4 0.6070 0.2500 0.4046
C5 0.7500 0.2500 0.6200
C6 0.8930 0.2500 0.4046

---

Material: Sb2C
Method: DFT, PBE-GGA
State: relaxed

Uncorrected formation energy ... 1.140 eV per atom
Raw total energy ... -14.0 eV per cell
SG ... No. 160
ΔE to the lowest computed polymorph ... 152.9 kJ/mol of formula units
ρ ... 6.917 g/cm3

Cell: 6.4748 6.4748 6.4748 Å, 30.33 30.33 30.33°
Sites, in units of the cell vectors:
Sb1 0.0000 0.0000 0.0000
Sb2 0.1768 0.1768 0.1768
C1 0.7243 0.7243 0.7243

---

> Which value of raw total energy does entry 7 give?

-52.1 eV per cell

---

> Which of these has the lowest uncorrected formation energy?

number 4

---

Copy entry 7 word for word.
Material: SbC3
Method: DFT, PBE-GGA
State: relaxed

Uncorrected formation energy ... 1.439 eV per atom
Raw total energy ... -52.1 eV per cell
SG ... No. 59
ΔE to the lowest computed polymorph ... 215.2 kJ/mol of formula units
ρ ... 3.913 g/cm3

Cell: 4.7293 4.7440 5.9699 Å, 90.00 90.00 90.00°
Sites, in units of the cell vectors:
Sb1 0.2500 0.2500 0.1852
Sb2 0.7500 0.7500 0.8148
C1 0.1070 0.7500 0.5954
C2 0.2500 0.7500 0.3800
C3 0.3930 0.7500 0.5954
C4 0.6070 0.2500 0.4046
C5 0.7500 0.2500 0.6200
C6 0.8930 0.2500 0.4046

---

> Which of these has the highest ρ?

Sb3C